# 1
Crystalline LaMg2TeC at its relaxed geometry, computed with PBE.

Fermi-level density of states	6.53	states/eV per cell
crystal system	tetragonal
E	-2.4119	eV per atom

abc: 6.804 5.933 6.804
angles: 90.00 90.00 90.00
Last column: magnetic moment on the atom in μB.
Element x y z (fractional)
Mg  0.000  0.000  0.500  0.00
Mg  0.500  0.000  0.000  0.01
Te  0.000  0.500  0.000  0.00
C  0.500  0.500  0.500  1.06
La  0.000  0.000  0.000  0.12

***

# 2
Crystalline LaMg2TlC at its relaxed geometry, computed with PBE.

Fermi-level density of states	5.00	states/eV per cell
energy relative to the elements	13	kJ/mol of formula units
crystal system	tetragonal

abc: 4.670 4.670 5.113
angles: 90.00 90.00 90.00
Element x y z (fractional)
C  0.000  0.000  0.000
Tl  0.500  0.500  0.500
Mg  0.000  0.500  0.000
Mg  0.500  0.000  0.000
La  0.000  0.000  0.500

***

# 3
Crystalline La2MgVC at its relaxed geometry, computed with PBE.

Fermi-level density of states	4.59	states/eV per cell
energy relative to the elements	-11	kJ/mol of formula units
crystal system	tetragonal

abc: 5.437 5.437 4.043
angles: 90.00 90.00 90.00
Last column: magnetic moment on the atom in μB.
Element x y z (fractional)
Mg  0.500  0.500  0.500  -0.01
V  0.000  0.000  0.500  1.58
C  0.000  0.000  0.000  -0.11
La  0.000  0.500  0.000  0.06
La  0.500  0.000  0.000  0.06

***

What is the formula in the second record? LaMg2TlC